No. 1
Material: NbCrPd
Method: DFT, PBE
State: optimized geometry

For the total energy, the calculation gives -8.1253 eV per atom. The energy of formation is 0.17 eV/atom. The calculation puts the density of states at the Fermi level at 3.5 states/eV/f.u. As for the magnetic moment: 0.0 μB per formula unit.

abc: 4.4840 4.4840 2.6285
angles: 90.00 90.00 120.00
Space group P-6m2 (No. 187)
Inequivalent atoms, fractional coordinates:
Nb: 0.0000 0.0000 0.0000 (multiplicity 1)
Cr: 0.3333 0.6667 0.5000 (multiplicity 1)
Pd: 0.6667 0.3333 0.5000 (multiplicity 1)



No. 2
Material: NbCr2Pd
Method: DFT, PBE
State: optimized geometry

For the total energy, the calculation gives -7.9484 eV per atom. The energy of formation is 0.68 eV/atom. The calculation puts the density of states at the Fermi level at 4.3 states/eV/f.u. As for the magnetic moment: 5.1 μB per formula unit.

abc: 6.907 6.907 5.523
angles: 90.00 90.00 90.00
Space group I-42d (No. 122)
Inequivalent atoms, fractional coordinates:
Nb: 0.000 0.000 0.000 (multiplicity 4)
Cr: 0.242 0.750 0.625 (multiplicity 8)
Pd: 0.000 0.000 0.500 (multiplicity 4)



No. 3
Material: NbCr2Pd2
Method: DFT, PBE
State: optimized geometry

For the total energy, the calculation gives -7.7564 eV per atom. The energy of formation is 0.18 eV/atom. The calculation puts the density of states at the Fermi level at 7.1 states/eV/f.u. As for the magnetic moment: 0.0 μB per formula unit.

abc: 7.360 7.360 2.715
angles: 90.00 90.00 90.00
Space group P4/mbm (No. 127)
Inequivalent atoms, fractional coordinates:
Nb: 0.000 0.000 0.000 (multiplicity 2)
Cr: 0.106 0.394 0.000 (multiplicity 4)
Pd: 0.186 0.686 0.500 (multiplicity 4)



No. 4
Material: Nb2CrPd9
Method: DFT, PBE
State: optimized geometry

For the total energy, the calculation gives -6.6820 eV per atom. The energy of formation is -0.31 eV/atom. The calculation puts the density of states at the Fermi level at 4.0 states/eV/f.u. As for the magnetic moment: 4.4 μB per formula unit.

abc: 3.961 3.961 11.906
angles: 90.00 90.00 90.00
Space group P4/mmm (No. 123)
Inequivalent atoms, fractional coordinates:
Nb: 0.000 0.000 0.174 (multiplicity 2)
Cr: 0.000 0.000 0.500 (multiplicity 1)
Pd: 0.000 0.500 0.000 (multiplicity 2)
Pd: 0.000 0.500 0.330 (multiplicity 4)
Pd: 0.500 0.500 0.164 (multiplicity 2)
Pd: 0.500 0.500 0.500 (multiplicity 1)



No. 5
Material: NbCrPd4
Method: DFT, PBE
State: optimized geometry

For the total energy, the calculation gives -6.8138 eV per atom. The energy of formation is -0.07 eV/atom. The calculation puts the density of states at the Fermi level at 4.9 states/eV/f.u. As for the magnetic moment: 2.3 μB per formula unit.

abc: 5.291 7.582 5.405
angles: 90.00 118.31 90.00
Space group C2/m (No. 12)
Inequivalent atoms, fractional coordinates:
Nb: 0.000 0.000 0.000 (multiplicity 2)
Cr: 0.000 0.500 0.500 (multiplicity 2)
Pd: 0.249 0.316 0.253 (multiplicity 8)



No. 6
Material: NbCr2Pd2
Method: DFT, PBE
State: optimized geometry

For the total energy, the calculation gives -7.7035 eV per atom. The energy of formation is 0.24 eV/atom. The calculation puts the density of states at the Fermi level at 5.2 states/eV/f.u. As for the magnetic moment: 0.6 μB per formula unit.

abc: 7.490 7.490 2.642
angles: 90.00 90.00 90.00
Space group P4/mbm (No. 127)
Inequivalent atoms, fractional coordinates:
Nb: 0.000 0.000 0.000 (multiplicity 2)
Cr: 0.172 0.328 0.500 (multiplicity 4)
Pd: 0.126 0.626 0.000 (multiplicity 4)



No. 7
Material: RbNb2CrPd
Method: DFT, PBE
State: optimized geometry

For the total energy, the calculation gives -5.0163 eV per atom. The energy of formation is 2.17 eV/atom. The calculation puts the density of states at the Fermi level at 7.9 states/eV/f.u. As for the magnetic moment: 1.9 μB per formula unit.

abc: 4.927 4.927 5.739
angles: 90.00 90.00 90.00
Space group P4/mmm (No. 123)
Inequivalent atoms, fractional coordinates:
Rb: 0.000 0.000 0.000 (multiplicity 1)
Nb: 0.000 0.500 0.500 (multiplicity 2)
Cr: 0.500 0.500 0.000 (multiplicity 1)
Pd: 0.000 0.000 0.500 (multiplicity 1)



No. 8
Material: NbCrPd2Se
Method: DFT, PBE
State: optimized geometry

The calculation puts the uncorrected formation energy at 1.1439 eV/atom. For the total energy, the calculation gives -5.5687 eV per atom. The calculation puts the density of states at the Fermi level at 4.0 states/eV/f.u. As for the magnetic moment: 2.6 μB per formula unit.

abc: 4.870 4.870 4.712
angles: 90.00 90.00 90.00
Space group P4/mmm (No. 123)
Inequivalent atoms, fractional coordinates:
Nb: 0.000 0.000 0.000 (multiplicity 1)
Cr: 0.000 0.000 0.500 (multiplicity 1)
Pd: 0.000 0.500 0.000 (multiplicity 2)
Se: 0.500 0.500 0.500 (multiplicity 1)